GaNiPdPt | GGA-PBE | optimized geometry

The structure in POSCAR format:
```
GaNiPdPt
1.0
3.6383 0.0000 0.0000
0.0000 3.9338 0.0000
0.0000 0.0000 3.9348
Ga Ni Pd Pt
1 1 1 1
direct
0.0000 0.0000 0.0000
0.0000 0.5000 0.5000
0.5000 0.5000 0.0000
0.5000 0.0000 0.5000
```

Computed properties:
The calculation puts the formation energy at -0.413 eV/atom. The total energy comes out at -5.42 eV/atom. The value obtained for the density of states at the Fermi level is 3.65 states/eV per cell. The space group is Pmmm, No. 47.